Below is CrTcSb2 after structural relaxation, with properties calculated at the PBEsol level.

Cell lengths 3.2373, 3.9806, 5.5677 Å; angles 90.00, 90.00, 90.00 degrees
Each line ends with the local moment (μB).
Element x y z (fractional)
Cr  0.5000  0.5000  0.7869  2.71
Sb  0.0000  0.0000  0.9472  -0.08
Sb  0.5000  0.5000  0.3044  -0.03
Tc  0.0000  0.0000  0.4614  -0.01

Output
Total moment: 2.750 μB per formula unit
E above lowest polymorph: 0 meV per atom
DFT total energy: -29.50 eV/cell
Mass density: 9.108 g/cm3
Energy relative to the elements, uncorrected: 0.280 eV/atom



Below is TaPb2Au after structural relaxation, with properties calculated at the PBEsol level.

Cell lengths 3.2291, 3.2291, 9.7735 Å; angles 80.49, 80.49, 60.00 degrees
Element x y z (fractional)
Au  0.5000  0.5000  0.5000
Pb  0.2488  0.2488  0.2536
Pb  0.7512  0.7512  0.7464
Ta  0.0000  0.0000  0.0000

Output
Total moment: 0.000 μB per formula unit
E above lowest polymorph: 0 meV per atom
Energy of formation from the pure elements: 0.42 eV/atom
DFT total energy: -22.78 eV/cell
Mass density: 15.187 g/cm3



Below is LiNbS2 after structural relaxation, with properties calculated at the PBEsol level.

Cell lengths 5.5899, 5.5899, 6.7104 Å; angles 114.61, 114.61, 90.00 degrees
Each line ends with the local moment (μB).
Element x y z (fractional)
Nb  0.2500  0.7500  0.5000  1.13
Nb  0.0000  0.0000  0.0000  1.13
S  0.3674  0.8750  0.2500  -0.02
S  0.8826  0.3750  0.2500  -0.02
S  0.1250  0.1174  0.7500  -0.02
S  0.6250  0.6326  0.7500  -0.02
Li  0.7500  0.2500  0.5000  0.00
Li  0.5000  0.5000  0.0000  0.00

Output
Total moment: 1.445 μB per formula unit
DFT total energy: -49.30 eV/cell
Mass density: 3.214 g/cm3
Energy relative to the elements, uncorrected: -0.774 eV/atom



Below is Ca2GaCu2 after structural relaxation, with properties calculated at the PBEsol level.

Cell lengths 4.2410, 5.2800, 5.5952 Å; angles 118.15, 112.27, 90.00 degrees
Element x y z (fractional)
Ca  0.8050  0.3050  0.6100
Ca  0.1950  0.6950  0.3900
Ga  0.0000  0.0000  0.0000
Cu  0.5000  0.7454  0.0000
Cu  0.5000  0.2546  0.0000

Output
Total moment: 0.000 μB per formula unit
Energy of formation from the pure elements: -0.28 eV/atom
DFT total energy: -17.68 eV/cell
Mass density: 4.611 g/cm3



Below is TiInS2N after structural relaxation, with properties calculated at the PBEsol level.

Cell lengths 3.9584, 5.0172, 5.0172 Å; angles 90.00, 90.00, 90.00 degrees
Each line ends with the local moment (μB).
Element x y z (fractional)
N  0.5000  0.0000  0.0000  0.82
S  0.0000  0.0000  0.5000  0.05
S  0.0000  0.5000  0.0000  0.05
Ti  0.5000  0.5000  0.5000  1.47
In  0.0000  0.0000  0.0000  0.00

Output
Total moment: 3.043 μB per formula unit
DFT total energy: -24.85 eV/cell
Mass density: 4.013 g/cm3
Energy relative to the elements, uncorrected: 0.749 eV/atom



Below is BeAgPt4 after structural relaxation, with properties calculated at the PBEsol level.

Cell lengths 5.1648, 5.1648, 5.1648 Å; angles 60.00, 60.00, 60.00 degrees
Element x y z (fractional)
Ag  0.7500  0.7500  0.7500
Be  0.0000  0.0000  0.0000
Pt  0.8754  0.3749  0.3749
Pt  0.3749  0.3749  0.3749
Pt  0.3749  0.3749  0.8754
Pt  0.3749  0.8754  0.3749

Output
Total moment: 0.000 μB per formula unit
Energy of formation from the pure elements: 0.24 eV/atom
DFT total energy: -33.72 eV/cell
Mass density: 15.293 g/cm3



Below is MgNiTe3 after structural relaxation, with properties calculated at the PBEsol level.

Cell lengths 5.2856, 5.2856, 5.2856 Å; angles 90.00, 90.00, 90.00 degrees
Each line ends with the local moment (μB).
Element x y z (fractional)
Ni  0.5000  0.5000  0.5000  0.83
Mg  0.0000  0.0000  0.0000  0.00
Te  0.0000  0.5000  0.0000  0.03
Te  0.0000  0.0000  0.5000  0.03
Te  0.5000  0.0000  0.0000  0.03

Output
Total moment: 0.940 μB per formula unit
DFT total energy: -14.04 eV/cell
Mass density: 5.238 g/cm3
Energy relative to the elements, uncorrected: 0.882 eV/atom



Below is Sc3SbS after structural relaxation, with properties calculated at the PBEsol level.

Cell lengths 4.7498, 4.7498, 4.7498 Å; angles 90.00, 90.00, 90.00 degrees
Element x y z (fractional)
Sc  0.0000  0.5000  0.0000
Sc  0.0000  0.0000  0.5000
Sc  0.5000  0.0000  0.0000
Sb  0.5000  0.5000  0.5000
S  0.0000  0.0000  0.0000

Output
Total moment: 0.001 μB per formula unit
DFT total energy: -33.58 eV/cell
Mass density: 4.474 g/cm3
Energy relative to the elements, uncorrected: -0.964 eV/atom



Below is Cs2AsPt after structural relaxation, with properties calculated at the PBEsol level.

Cell lengths 4.6180, 9.4475, 9.4475 Å; angles 86.58, 75.85, 75.85 degrees
Element x y z (fractional)
Cs  0.8046  0.8204  0.3204
Cs  0.9454  0.1796  0.6796
Cs  0.3750  0.6796  0.8204
Cs  0.8750  0.3204  0.1796
As  0.5000  0.0000  0.0000
As  0.2500  0.5000  0.5000
Pt  0.0000  0.0000  0.0000
Pt  0.7500  0.5000  0.5000

Output
Total moment: 0.000 μB per formula unit
Energy of formation from the pure elements: -0.28 eV/atom
DFT total energy: -30.14 eV/cell
Mass density: 4.592 g/cm3



Below is AlCoAs after structural relaxation, with properties calculated at the PBEsol level.

Cell lengths 2.9546, 2.9546, 5.5702 Å; angles 90.00, 90.00, 120.00 degrees
Element x y z (fractional)
As  0.3333  0.6667  0.6287
Co  0.6667  0.3333  0.3428
Al  0.0000  0.0000  0.0286

Output
Total moment: 0.000 μB per formula unit
Energy of formation from the pure elements: -0.16 eV/atom
DFT total energy: -17.42 eV/cell
Mass density: 6.342 g/cm3



Below is SrFeHg2 after structural relaxation, with properties calculated at the PBEsol level.

Cell lengths 4.5104, 4.5169, 6.1487 Å; angles 111.48, 90.00, 119.95 degrees
Each line ends with the local moment (μB).
Element x y z (fractional)
Fe  0.5000  0.0000  0.0000  2.77
Hg  0.7896  0.5791  0.8684  -0.03
Hg  0.2104  0.4209  0.1316  -0.03
Sr  0.0000  0.0000  0.5000  -0.04

Output
Total moment: 2.555 μB per formula unit
Energy of formation from the pure elements: 0.04 eV/atom
DFT total energy: -11.77 eV/cell
Mass density: 9.194 g/cm3



Below is MoOs5 after structural relaxation, with properties calculated at the PBEsol level.

Cell lengths 2.7377, 5.1322, 6.4488 Å; angles 103.14, 90.00, 105.47 degrees
Element x y z (fractional)
Mo  0.0001  0.0003  0.9988
Os  0.3875  0.7749  0.2790
Os  0.6675  0.3351  0.3348
Os  0.0551  0.1102  0.6107
Os  0.3319  0.6638  0.6654
Os  0.7245  0.4491  0.9447

Output
Total moment: 0.000 μB per formula unit
E above lowest polymorph: 6 meV per atom
Energy of formation from the pure elements: -0.03 eV/atom
DFT total energy: -73.03 eV/cell
Mass density: 20.489 g/cm3